[1]
First-principles (PBE) data for a relaxed La2TbCd3 crystal, as listed in Alexandria.

Cell lengths 3.8345, 3.8345, 11.8748 Å; angles 90.00, 90.00, 90.00 degrees
With the nearest neighbours (Å) after each atom.
Element x y z (fractional)
Cd 0.0000 0.0000 0.6496  4 Tb 3.24, 4 La 3.43, 1 Cd 3.55
Cd 0.0000 0.0000 0.3504  4 Tb 3.24, 4 La 3.43, 1 Cd 3.55
Cd 0.0000 0.0000 0.0000  8 La 3.40
La 0.5000 0.5000 0.1733  8 Cd 3.40-3.43
La 0.5000 0.5000 0.8267  8 Cd 3.40-3.43
Tb 0.5000 0.5000 0.5000  8 Cd 3.24

Results
The calculation puts the mass density at 7.36 g cm⁻³. The formation energy from the elements is -186 kJ/mol of formula units. The calculation puts the density of states at the Fermi level at 7.56 states/eV/f.u. For the magnetization, the calculation gives 0.842 Bohr magnetons per cell.

=====

[2]
First-principles (PBE) data for a relaxed Ti2Al2Mo crystal, as listed in Alexandria.

Cell lengths 4.4369, 5.6957, 6.8495 Å; angles 100.95, 108.90, 90.00 degrees
With the nearest neighbours (Å) after each atom.
Element x y z (fractional)
Al 0.1936 0.4972 0.3873  1 Mo 2.62, 4 Al 2.65-2.85, 3 Ti 2.79-2.92
Al 0.1936 0.9972 0.3873  1 Mo 2.62, 4 Al 2.65-2.85, 3 Ti 2.79-2.92
Al 0.8064 0.0028 0.6127  1 Mo 2.62, 4 Al 2.65-2.85, 3 Ti 2.79-2.92
Al 0.8064 0.5028 0.6127  1 Mo 2.62, 4 Al 2.65-2.85, 3 Ti 2.79-2.92
Ti 0.3976 0.8271 0.7952  2 Mo 2.67, 5 Al 2.79-2.98, 4 Ti 2.85-2.97
Ti 0.3976 0.3271 0.7952  2 Mo 2.67, 5 Al 2.79-2.98, 4 Ti 2.85-2.97
Ti 0.6024 0.1729 0.2048  2 Mo 2.67, 5 Al 2.79-2.98, 4 Ti 2.85-2.97
Ti 0.6024 0.6729 0.2048  2 Mo 2.67, 5 Al 2.79-2.98, 4 Ti 2.85-2.97
Mo 0.0000 0.2500 0.0000  2 Al 2.62, 4 Ti 2.67, 2 Mo 2.85
Mo 0.0000 0.7500 0.0000  2 Al 2.62, 4 Ti 2.67, 2 Mo 2.85

Results
The calculation puts the mass density at 5.08 g cm⁻³. The value obtained for the excess energy over the best structure of this formula in the dataset is 0 meV/atom. The formation energy from the elements is -148 kJ/mol of formula units. The calculation puts the density of states at the Fermi level at 2.86 states/eV/f.u. For the magnetization, the calculation gives 0.000 Bohr magnetons per cell.

=====

[3]
First-principles (PBE) data for a relaxed Y2ZrP crystal, as listed in Alexandria.

Cell lengths 5.7270, 5.7270, 5.7270 Å; angles 135.49, 135.49, 64.77 degrees
With the nearest neighbours (Å) after each atom.
Element x y z (fractional)
Zr 0.5000 0.5000 0.0000  4 P 3.07, 8 Y 3.25
P 0.0000 0.0000 0.0000  4 Zr 3.07, 8 Y 3.25
Y 0.7500 0.2500 0.5000  4 Y 3.07, 4 Zr 3.25, 4 P 3.25
Y 0.2500 0.7500 0.5000  4 Y 3.07, 4 Zr 3.25, 4 P 3.25

Results
The calculation puts the mass density at 5.47 g cm⁻³. The formation energy from the elements is -83 kJ/mol of formula units. The calculation puts the density of states at the Fermi level at 4.10 states/eV/f.u. For the magnetization, the calculation gives 0.000 Bohr magnetons per cell.

=====

[4]
First-principles (PBE) data for a relaxed KU2SbS8 crystal, as listed in Alexandria.

Cell lengths 6.5385, 6.0148, 8.2426 Å; angles 89.98, 89.99, 87.74 degrees
With the nearest neighbours (Å) after each atom.
Element x y z (fractional)
K 0.0000 0.0000 0.5000  6 S 3.02-3.08
S 0.8231 0.2737 0.2224  1 U 2.48, 1 Sb 2.69
S 0.6155 0.7191 0.4999  2 U 2.59
S 0.3604 0.2659 0.0000  2 U 2.66, 1 Sb 2.90
S 0.8233 0.2739 0.7775  1 U 2.48, 1 Sb 2.69
S 0.3845 0.2809 0.5001  2 U 2.59
S 0.1767 0.7261 0.2225  1 U 2.48, 1 Sb 2.69
S 0.6396 0.7341 0.0000  2 U 2.66, 1 Sb 2.90
S 0.1769 0.7263 0.7776  1 U 2.48, 1 Sb 2.69
Sb 0.0000 0.0000 0.0000  6 S 2.69-2.90
U 0.5001 0.5000 0.7525  6 S 2.48-2.66
U 0.4999 0.5000 0.2475  6 S 2.48-2.66

Results
The calculation puts the mass density at 4.58 g cm⁻³. The uncorrected formation energy is -0.838 eV/atom. The calculation puts the density of states at the Fermi level at 0.44 states/eV/f.u. For the magnetization, the calculation gives 0.186 Bohr magnetons per cell.

=====

[5]
First-principles (PBE) data for a relaxed LiNpO3 crystal, as listed in Alexandria.

Cell lengths 6.0592, 5.5668, 5.5668 Å; angles 120.00, 90.00, 90.00 degrees
With the nearest neighbours (Å) after each atom.
Element x y z (fractional)
O 0.2500 0.3546 0.1119  2 Np 2.17, 2 Li 2.31
O 0.7500 0.3546 0.2428  2 Np 2.17, 2 Li 2.31
O 0.2500 0.8881 0.2428  2 Np 2.17, 2 Li 2.31
O 0.7500 0.7572 0.1119  2 Np 2.17, 2 Li 2.31
O 0.7500 0.8881 0.6454  2 Np 2.17, 2 Li 2.31
O 0.2500 0.7572 0.6454  2 Np 2.17, 2 Li 2.31
Li 0.0000 0.0000 0.0000  6 O 2.31
Li 0.5000 0.0000 0.0000  6 O 2.31
Np 0.0000 0.6667 0.3333  6 O 2.17
Np 0.5000 0.6667 0.3333  6 O 2.17

Results
The calculation puts the mass density at 5.96 g cm⁻³. The uncorrected formation energy is -2.382 eV/atom. The calculation puts the density of states at the Fermi level at 4.38 states/eV/f.u. For the magnetization, the calculation gives 4.001 Bohr magnetons per cell.

=====

[6]
First-principles (PBE) data for a relaxed SrTcRuF2 crystal, as listed in Alexandria.

Cell lengths 4.3461, 8.0941, 4.3461 Å; angles 90.00, 90.00, 90.00 degrees
With the nearest neighbours (Å) after each atom.
Element x y z (fractional)
F 0.0000 0.0000 0.5000  2 Sr 2.17
F 0.5000 0.0000 0.0000  2 Sr 2.17
Sr 0.0000 0.0000 0.0000  4 F 2.17
Ru 0.5000 0.5000 0.5000  4 Tc 3.07
Tc 0.0000 0.5000 0.0000  4 Ru 3.07

Results
The calculation puts the mass density at 3.53 g cm⁻³. The uncorrected formation energy is -0.307 eV/atom. The calculation puts the density of states at the Fermi level at 4.43 states/eV/f.u. For the magnetization, the calculation gives 6.357 Bohr magnetons per cell.